1.
Entry from Alexandria: an optimized crystal structure of TlSnPd14 (PBE).

abc: 5.762 5.762 7.735
angles: 90.00 90.00 90.00
Space group P4/mmm (No. 123)
One atom of each set of equivalent atoms:
Tl 0.000 0.000 0.000 x1
Sn 0.500 0.500 0.000 x1
Pd 0.000 0.000 0.500 x1
Pd 0.000 0.500 0.000 x2
Pd 0.000 0.500 0.500 x2
Pd 0.252 0.252 0.253 x8
Pd 0.500 0.500 0.500 x1

For the theoretical density, the calculation gives 11.7 g cm⁻³. The energy of formation from the pure elements is -0.167 eV per atom.

=====

2.
Entry from Alexandria: an optimized crystal structure of NdDy6Er6 (PBE).

abc: 6.6106 6.6106 11.3737
angles: 90.00 90.00 120.00
Space group P6/mmm (No. 191)
One atom of each set of equivalent atoms:
Nd 0.0000 0.0000 0.0000 x1
Dy 0.0000 0.0000 0.3487 x2
Dy 0.3333 0.6667 0.0000 x2
Dy 0.3333 0.6667 0.5000 x2
Er 0.0000 0.5000 0.2446 x6

For the theoretical density, the calculation gives 8.2 g cm⁻³. The energy of formation from the pure elements is 0.275 eV per atom.

=====

3.
Entry from Alexandria: an optimized crystal structure of Pr5Sm4Cd (PBE).

abc: 4.243 4.243 18.726
angles: 90.00 90.00 90.00
Space group P4/mmm (No. 123)
One atom of each set of equivalent atoms:
Pr 0.000 0.000 0.000 x1
Pr 0.000 0.000 0.202 x2
Pr 0.000 0.000 0.409 x2
Sm 0.500 0.500 0.102 x2
Sm 0.500 0.500 0.301 x2
Cd 0.500 0.500 0.500 x1

For the theoretical density, the calculation gives 7.0 g cm⁻³. Its energy relative to the lowest polymorph listed for this composition is 0 meV/atom. The energy of formation from the pure elements is 0.037 eV per atom.

=====

4.
Entry from Alexandria: an optimized crystal structure of Mo2IrBr (PBE).

abc: 10.026 2.896 4.624
angles: 90.00 97.06 90.00
Space group Cm (No. 8)
One atom of each set of equivalent atoms:
Mo 0.000 0.000 0.000 x2
Mo 0.207 0.500 0.312 x2
Ir 0.267 0.000 0.859 x2
Br 0.487 0.000 0.533 x2

For the theoretical density, the calculation gives 11.6 g cm⁻³. Its energy relative to the lowest polymorph listed for this composition is 167 meV/atom. Its raw formation energy is 554 meV per atom.

=====

5.
Entry from Alexandria: an optimized crystal structure of Er7Cu2Pd2 (PBE).

abc: 7.494 10.677 7.125
angles: 90.00 90.00 90.00
Space group Cmmm (No. 65)
One atom of each set of equivalent atoms:
Er 0.000 0.000 0.000 x2
Er 0.000 0.500 0.266 x4
Er 0.250 0.250 0.272 x8
Cu 0.175 0.000 0.500 x4
Pd 0.000 0.291 0.000 x4

For the theoretical density, the calculation gives 8.8 g cm⁻³. The energy of formation from the pure elements is -0.191 eV per atom.

=====

6.
Entry from Alexandria: an optimized crystal structure of Y2GePb (PBE).

abc: 4.0419 4.0419 24.3927
angles: 90.00 90.00 120.00
Space group R-3m (No. 166, hexagonal axes)
One atom of each set of equivalent atoms:
Y 0.0000 0.0000 0.2344 x6
Ge 0.0000 0.0000 0.5000 x3
Pb 0.0000 0.0000 0.0000 x3

For the theoretical density, the calculation gives 6.6 g cm⁻³. The energy of formation from the pure elements is -0.601 eV per atom.

=====

7.
Entry from Alexandria: an optimized crystal structure of BaCuHg2Cl8 (PBE).

abc: 6.625 7.194 8.388
angles: 83.23 78.54 86.19
Space group P-1 (No. 2)
One atom of each set of equivalent atoms:
Ba 0.000 0.000 0.000 x1
Cu 0.000 0.000 0.500 x1
Hg 0.499 0.474 0.725 x2
Cl 0.191 0.847 0.679 x2
Cl 0.228 0.877 0.283 x2
Cl 0.269 0.362 0.488 x2
Cl 0.280 0.358 0.972 x2

For the theoretical density, the calculation gives 3.8 g cm⁻³. Its raw formation energy is -1002 meV per atom.

=====

8.
Entry from Alexandria: an optimized crystal structure of Hf7Pd2Pt2 (PBE).

abc: 3.426 14.438 9.132
angles: 90.00 90.00 90.00
Space group Imm2 (No. 44)
One atom of each set of equivalent atoms:
Hf 0.000 0.000 0.000 x2
Hf 0.000 0.117 0.406 x4
Hf 0.000 0.318 0.626 x4
Hf 0.000 0.376 0.259 x4
Pd 0.000 0.000 0.640 x2
Pd 0.000 0.500 0.753 x2
Pt 0.000 0.235 0.919 x4

For the theoretical density, the calculation gives 13.6 g cm⁻³. The energy of formation from the pure elements is -0.581 eV per atom.